1.
The following is a DFT calculation (PBE-GGA) of crystalline PuAgHgCl6 at its relaxed geometry.

**SG**: No. 163
**D(E_F)**: 22.64 states/eV per cell
**Volume**: 249.50 Å³/f.u.
**Energy**: -4.27 eV/atom
**Magnetic moment**: 4.99 μB per formula unit

abc: 6.7680 6.7680 12.5788
angles: 90.00 90.00 120.00
With the nearest neighbours (Å) after each atom.
Sites, in units of the cell vectors:
Pu 0.3333 0.6667 0.2500  6 Cl 2.70
Pu 0.6667 0.3333 0.7500  6 Cl 2.70
Ag 0.3333 0.6667 0.7500  6 Cl 2.77
Ag 0.6667 0.3333 0.2500  6 Cl 2.77
Hg 0.0000 0.0000 0.0000  6 Cl 2.77
Hg 0.0000 0.0000 0.5000  6 Cl 2.77
Cl 0.0082 0.3405 0.1257  1 Pu 2.70, 1 Ag 2.77, 1 Hg 2.77
Cl 0.0082 0.6677 0.3743  1 Pu 2.70, 1 Ag 2.77, 1 Hg 2.77
Cl 0.3323 0.3405 0.3743  1 Pu 2.70, 1 Ag 2.77, 1 Hg 2.77
Cl 0.3323 0.9918 0.1257  1 Pu 2.70, 1 Ag 2.77, 1 Hg 2.77
Cl 0.3405 0.0082 0.6257  1 Pu 2.70, 1 Ag 2.77, 1 Hg 2.77
Cl 0.3405 0.3323 0.8743  1 Pu 2.70, 1 Ag 2.77, 1 Hg 2.77
Cl 0.6595 0.6677 0.1257  1 Pu 2.70, 1 Ag 2.77, 1 Hg 2.77
Cl 0.6595 0.9918 0.3743  1 Pu 2.70, 1 Ag 2.77, 1 Hg 2.77
Cl 0.6677 0.0082 0.8743  1 Pu 2.70, 1 Ag 2.77, 1 Hg 2.77
Cl 0.6677 0.6595 0.6257  1 Pu 2.70, 1 Ag 2.77, 1 Hg 2.77
Cl 0.9918 0.3323 0.6257  1 Pu 2.70, 1 Ag 2.77, 1 Hg 2.77
Cl 0.9918 0.6595 0.8743  1 Pu 2.70, 1 Ag 2.77, 1 Hg 2.77

2.
The following is a DFT calculation (PBE-GGA) of crystalline SbTe2BrCl at its relaxed geometry.

**SG**: No. 123
**D(E_F)**: 6.25 states/eV per cell
**Volume**: 179.98 Å³/f.u.
**Energy**: -1.94 eV/atom
**Magnetic moment**: 0.78 μB per formula unit

abc: 5.6349 5.6349 5.6684
angles: 90.00 90.00 90.00
With the nearest neighbours (Å) after each atom.
Sites, in units of the cell vectors:
Sb 0.0000 0.0000 0.0000  2 Br 2.83
Te 0.0000 0.5000 0.5000  2 Br 2.82
Te 0.5000 0.0000 0.5000  2 Br 2.82
Br 0.0000 0.0000 0.5000  4 Te 2.82, 2 Sb 2.83
Cl 0.5000 0.5000 0.0000  4 Sb 3.98, 8 Te 4.00

3.
The following is a DFT calculation (PBE-GGA) of crystalline Dy5Hg2C at its relaxed geometry.

**SG**: No. 63
**D(E_F)**: 15.90 states/eV per cell
**Volume**: 240.74 Å³/f.u.
**Magnetic moment**: 0.00 μB per formula unit
**Energy of formation from the pure elements**: -0.04 eV/atom

abc: 8.3137 8.3137 12.2360
angles: 90.00 90.00 145.30
With the nearest neighbours (Å) after each atom.
Sites, in units of the cell vectors:
Dy 0.0861 0.9139 0.6064  1 C 2.37
Dy 0.0861 0.9139 0.8936  1 C 2.37
Dy 0.2986 0.7014 0.5926  1 C 2.62
Dy 0.2986 0.7014 0.9074  1 C 2.62
Dy 0.2996 0.7004 0.2500  2 C 2.49
Dy 0.7004 0.2996 0.7500  2 C 2.49
Dy 0.7014 0.2986 0.0926  1 C 2.62
Dy 0.7014 0.2986 0.4074  1 C 2.62
Dy 0.9139 0.0861 0.1064  1 C 2.37
Dy 0.9139 0.0861 0.3936  1 C 2.37
Hg 0.1029 0.8971 0.1365  1 Hg 2.78, 4 Dy 2.98-3.02
Hg 0.1029 0.8971 0.3635  1 Hg 2.78, 4 Dy 2.98-3.02
Hg 0.8971 0.1029 0.6365  1 Hg 2.78, 4 Dy 2.98-3.02
Hg 0.8971 0.1029 0.8635  1 Hg 2.78, 4 Dy 2.98-3.02
C 0.1868 0.8132 0.7500  6 Dy 2.37-2.62
C 0.8132 0.1868 0.2500  6 Dy 2.37-2.62

4.
The following is a DFT calculation (PBE-GGA) of crystalline Ac7Tb2Pr3 at its relaxed geometry.

**SG**: No. 10
**D(E_F)**: 18.20 states/eV per cell
**Volume**: 488.45 Å³/f.u.
**Magnetic moment**: 0.00 μB per formula unit
**Energy of formation from the pure elements**: 0.10 eV/atom

abc: 6.9753 3.7834 18.6157
angles: 90.00 96.16 90.00
With the nearest neighbours (Å) after each atom.
Sites, in units of the cell vectors:
Ac 0.0000 0.0000 0.0000  8 Ac 3.78-3.96, 4 Pr 3.97
Ac 0.2261 0.5000 0.1759  1 Tb 3.68, 8 Ac 3.78-3.97, 3 Pr 3.82-3.96
Ac 0.2532 0.5000 0.4940  4 Ac 3.43-3.78, 2 Tb 3.54-3.65, 2 Pr 3.83
Ac 0.2748 0.0000 0.8291  2 Tb 3.71, 7 Ac 3.78-3.97, 3 Pr 3.83-3.89
Ac 0.7252 0.0000 0.1709  2 Tb 3.71, 7 Ac 3.78-3.97, 3 Pr 3.83-3.89
Ac 0.7468 0.5000 0.5060  4 Ac 3.43-3.78, 2 Tb 3.54-3.65, 2 Pr 3.83
Ac 0.7739 0.5000 0.8241  1 Tb 3.68, 8 Ac 3.78-3.97, 3 Pr 3.82-3.96
Tb 0.0592 0.5000 0.6686  5 Ac 3.54-3.71, 2 Tb 3.78, 2 Pr 3.87
Tb 0.9408 0.5000 0.3314  5 Ac 3.54-3.71, 2 Tb 3.78, 2 Pr 3.87
Pr 0.4603 0.0000 0.3411  2 Pr 3.78, 7 Ac 3.82-3.96, 4 Tb 3.87-4.07
Pr 0.5000 0.5000 0.0000  2 Pr 3.78, 10 Ac 3.89-3.97
Pr 0.5397 0.0000 0.6589  2 Pr 3.78, 7 Ac 3.82-3.96, 4 Tb 3.87-4.07

5.
The following is a DFT calculation (PBE-GGA) of crystalline AcBSe3 at its relaxed geometry.

**SG**: No. 14
**Volume**: 130.75 Å³/f.u.
**Energy**: -5.30 eV/atom
**Magnetic moment**: 0.00 μB per formula unit

abc: 6.0085 8.4022 11.3937
angles: 90.00 114.60 90.00
With the nearest neighbours (Å) after each atom.
Sites, in units of the cell vectors:
Ac 0.1766 0.1085 0.2330  8 Se 3.14-3.31
Ac 0.1766 0.3915 0.7330  8 Se 3.14-3.31
Ac 0.8234 0.6085 0.2670  8 Se 3.14-3.31
Ac 0.8234 0.8915 0.7670  8 Se 3.14-3.31
B 0.1144 0.5584 0.0530  1 B 1.71
B 0.1144 0.9416 0.5530  1 B 1.71
B 0.8856 0.0584 0.4470  1 B 1.71
B 0.8856 0.4416 0.9470  1 B 1.71
Se 0.0161 0.2082 0.9432  1 B 2.12
Se 0.0161 0.2918 0.4432  1 B 2.12
Se 0.2979 0.0237 0.7425  1 B 2.09
Se 0.2979 0.4763 0.2425  1 B 2.09
Se 0.3773 0.6261 0.9877  1 B 2.09
Se 0.3773 0.8739 0.4877  1 B 2.09
Se 0.6227 0.1261 0.5123  1 B 2.09
Se 0.6227 0.3739 0.0123  1 B 2.09
Se 0.7021 0.5237 0.7575  1 B 2.09
Se 0.7021 0.9763 0.2575  1 B 2.09
Se 0.9839 0.7082 0.5568  1 B 2.12
Se 0.9839 0.7918 0.0568  1 B 2.12

6.
The following is a DFT calculation (PBE-GGA) of crystalline CdOs2Rh at its relaxed geometry.

**SG**: No. 25
**D(E_F)**: 4.38 states/eV per cell
**Volume**: 62.73 Å³/f.u.
**Magnetic moment**: 0.00 μB per formula unit
**Energy of formation from the pure elements**: 0.30 eV/atom

abc: 2.7922 3.8234 5.8761
angles: 90.00 90.00 90.00
With the nearest neighbours (Å) after each atom.
Sites, in units of the cell vectors:
Cd 0.0000 0.0000 0.0000  2 Cd 2.79, 4 Rh 2.80, 6 Os 2.88-3.00
Os 0.0000 0.0000 0.4903  6 Os 2.63-2.79, 4 Rh 2.80, 1 Cd 2.88
Os 0.5000 0.5000 0.2962  6 Os 2.63-2.79, 1 Rh 2.64, 4 Cd 2.94
Rh 0.5000 0.5000 0.7462  5 Os 2.64-2.80, 2 Rh 2.79, 4 Cd 2.80